Density functional theory data (PBE) for Tl2IrPbI after structural relaxation.

CIF file:
```
data_Tl2IrPbI
_chemical_formula_sum 'Tl2 Ir1 Pb1 I1'
_symmetry_space_group_name_H-M 'P 4/m m m'
_symmetry_Int_Tables_number 123
_symmetry_space_group_name_Hall '-P 4 2'
_cell_length_a 5.4077
_cell_length_b 5.4077
_cell_length_c 5.3056
_cell_angle_alpha 90.00
_cell_angle_beta 90.00
_cell_angle_gamma 90.00
loop_
_atom_site_label
_atom_site_type_symbol
_atom_site_fract_x
_atom_site_fract_y
_atom_site_fract_z
Tl1 Tl 0.0000 0.5000 0.0000
Ir1 Ir 0.0000 0.0000 0.0000
Pb1 Pb 0.0000 0.0000 0.5000
I1 I 0.5000 0.5000 0.5000
```

Calculated values
Calculated total energy ... -19.64 eV per cell
Total magnetic moment ... 0.0 μB/f.u.
ΔE_f (raw) ... -0.16 eV per atom